<one>
Density functional theory data (PBE) for a relaxed RbSr2Tc crystal.

Calculated values
As for the density of states at the Fermi level: 1.378 states/eV/atom.

Cell lengths 8.4923, 8.4923, 12.0549 Å; angles 90.00, 90.00, 90.00 degrees
Last column: nearest neighbours and their distance in Å.
Space group I4_1/amd (No. 141, origin choice 2)
Inequivalent atoms, fractional coordinates:
Rb1 0.0000 0.2500 0.3750 (multiplicity 4)  12 Sr 4.98-4.99, 4 Tc 5.21, 4 Rb 5.21
Sr1 0.0000 0.0000 0.0000 (multiplicity 8)  2 Tc 2.60
Tc1 0.0000 0.2500 0.8750 (multiplicity 4)  4 Sr 2.60

***

<two>
Density functional theory data (PBE) for a relaxed RbSr2Tc crystal.

Calculated values
As for the density of states at the Fermi level: 0.406 states/eV/atom.

Cell lengths 8.3783, 8.3783, 8.3783 Å; angles 90.00, 90.00, 90.00 degrees
Last column: nearest neighbours and their distance in Å.
Space group Fm-3m (No. 225)
Inequivalent atoms, fractional coordinates:
Rb1 0.0000 0.0000 0.0000 (multiplicity 4)  8 Sr 3.63
Sr1 0.2500 0.2500 0.2500 (multiplicity 8)  4 Tc 3.63, 4 Rb 3.63
Tc1 0.0000 0.0000 0.5000 (multiplicity 4)  8 Sr 3.63

***

Which structure wins on stability? <two> wins.

***

<one>
Density functional theory data (PBE) for a relaxed RbSr3Te crystal.

Calculated values
As for the density of states at the Fermi level: 1.308 states/eV/atom.

Cell lengths 6.5225, 6.5225, 6.5225 Å; angles 90.00, 90.00, 90.00 degrees
Last column: nearest neighbours and their distance in Å.
Space group Pm-3m (No. 221)
Inequivalent atoms, fractional coordinates:
Rb1 0.0000 0.0000 0.0000 (multiplicity 1)  6 Sr 3.26
Sr1 0.0000 0.0000 0.5000 (multiplicity 3)  2 Rb 3.26
Te1 0.5000 0.5000 0.5000 (multiplicity 1)  12 Sr 4.61

***

<two>
Density functional theory data (PBE) for a relaxed RbSr3Te crystal.

Calculated values
As for the density of states at the Fermi level: 1.428 states/eV/atom.

Cell lengths 6.6023, 6.6023, 6.6023 Å; angles 90.00, 90.00, 90.00 degrees
Last column: nearest neighbours and their distance in Å.
Space group Pm-3m (No. 221)
Inequivalent atoms, fractional coordinates:
Rb1 0.0000 0.0000 0.0000 (multiplicity 1)  12 Sr 4.67
Sr1 0.0000 0.5000 0.5000 (multiplicity 3)  2 Te 3.30
Te1 0.5000 0.5000 0.5000 (multiplicity 1)  6 Sr 3.30

***

Which structure wins on stability? <two> wins.

***

<one>
Density functional theory data (PBE) for a relaxed Rb3SrTe crystal.

Calculated values
As for the density of states at the Fermi level: 1.045 states/eV/atom.

Cell lengths 7.1086, 7.1086, 7.1086 Å; angles 90.00, 90.00, 90.00 degrees
Last column: nearest neighbours and their distance in Å.
Space group Pm-3m (No. 221)
Inequivalent atoms, fractional coordinates:
Rb1 0.0000 0.0000 0.5000 (multiplicity 3)  2 Te 3.55
Sr1 0.5000 0.5000 0.5000 (multiplicity 1)  12 Rb 5.03
Te1 0.0000 0.0000 0.0000 (multiplicity 1)  6 Rb 3.55

***

<two>
Density functional theory data (PBE) for a relaxed Rb3SrTe crystal.

Calculated values
As for the density of states at the Fermi level: 1.201 states/eV/atom.

Cell lengths 7.5740, 7.5740, 7.5740 Å; angles 90.00, 90.00, 90.00 degrees
Last column: nearest neighbours and their distance in Å.
Space group Pm-3m (No. 221)
Inequivalent atoms, fractional coordinates:
Rb1 0.0000 0.0000 0.5000 (multiplicity 3)  2 Sr 3.79
Sr1 0.0000 0.0000 0.0000 (multiplicity 1)  6 Rb 3.79
Te1 0.5000 0.5000 0.5000 (multiplicity 1)  12 Rb 5.36

***

Which structure wins on stability? <one> wins.

***

<one>
Density functional theory data (PBE) for a relaxed RbSrTe3 crystal.

Calculated values
As for the density of states at the Fermi level: 0.496 states/eV/atom.

Cell lengths 18.8340, 6.5137, 6.3588 Å; angles 90.00, 90.00, 90.00 degrees
Last column: nearest neighbours and their distance in Å.
Space group Pnna (No. 52)
Inequivalent atoms, fractional coordinates:
Rb1 0.2500 0.0000 0.0286 (multiplicity 4)  6 Te 3.71-3.77
Sr1 0.0004 0.2500 0.2500 (multiplicity 4)  8 Te 3.34-3.63
Te1 0.0855 0.7500 0.2500 (multiplicity 4)  2 Te 3.04
Te2 0.1245 0.0723 0.5770 (multiplicity 8)  2 Te 3.04-3.19, 2 Sr 3.34

***

<two>
Density functional theory data (PBE) for a relaxed RbSrTe3 crystal.

Calculated values
As for the density of states at the Fermi level: 2.340 states/eV/atom.

Cell lengths 6.1408, 6.1408, 6.1408 Å; angles 90.00, 90.00, 90.00 degrees
Last column: nearest neighbours and their distance in Å.
Space group Pm-3m (No. 221)
Inequivalent atoms, fractional coordinates:
Rb1 0.0000 0.0000 0.0000 (multiplicity 1)  6 Te 3.07
Sr1 0.5000 0.5000 0.5000 (multiplicity 1)  12 Te 4.34
Te1 0.0000 0.0000 0.5000 (multiplicity 3)  2 Rb 3.07

***

<three>
Density functional theory data (PBE) for a relaxed RbSrTe3 crystal.

Calculated values
As for the density of states at the Fermi level: 1.050 states/eV/atom.

Cell lengths 6.3098, 6.3098, 6.3098 Å; angles 90.00, 90.00, 90.00 degrees
Last column: nearest neighbours and their distance in Å.
Space group Pm-3m (No. 221)
Inequivalent atoms, fractional coordinates:
Rb1 0.0000 0.0000 0.0000 (multiplicity 1)  12 Te 4.46
Sr1 0.5000 0.5000 0.5000 (multiplicity 1)  6 Te 3.15
Te1 0.0000 0.5000 0.5000 (multiplicity 3)  2 Sr 3.15

***

Which structure wins on stability? <one> wins.

***

<one>
Density functional theory data (PBE) for a relaxed Rb3SrTi crystal.

Calculated values
As for the density of states at the Fermi level: 1.333 states/eV/atom.

Cell lengths 7.0796, 7.0796, 7.0796 Å; angles 90.00, 90.00, 90.00 degrees
Last column: nearest neighbours and their distance in Å.
Space group Pm-3m (No. 221)
Inequivalent atoms, fractional coordinates:
Rb1 0.0000 0.0000 0.5000 (multiplicity 3)  2 Ti 3.54
Sr1 0.5000 0.5000 0.5000 (multiplicity 1)  12 Rb 5.01
Ti1 0.0000 0.0000 0.0000 (multiplicity 1)  6 Rb 3.54

***

<two>
Density functional theory data (PBE) for a relaxed Rb3SrTi crystal.

Calculated values
As for the density of states at the Fermi level: 3.224 states/eV/atom.

Cell lengths 7.9604, 7.9604, 7.9604 Å; angles 90.00, 90.00, 90.00 degrees
Last column: nearest neighbours and their distance in Å.
Space group Pm-3m (No. 221)
Inequivalent atoms, fractional coordinates:
Rb1 0.0000 0.0000 0.5000 (multiplicity 3)  2 Sr 3.98
Sr1 0.0000 0.0000 0.0000 (multiplicity 1)  6 Rb 3.98
Ti1 0.5000 0.5000 0.5000 (multiplicity 1)  12 Rb 5.63

***

Which structure wins on stability? <one> wins.

***

<one>
Density functional theory data (PBE) for a relaxed RbSr2Tl2 crystal.

Calculated values
As for the density of states at the Fermi level: 0.748 states/eV/atom.

Cell lengths 9.7963, 9.7963, 4.2853 Å; angles 90.00, 90.00, 90.00 degrees
Last column: nearest neighbours and their distance in Å.
Space group P4/mbm (No. 127)
Inequivalent atoms, fractional coordinates:
Rb1 0.0000 0.0000 0.0000 (multiplicity 2)  4 Tl 3.87, 8 Sr 4.24, 2 Rb 4.29
Sr1 0.1640 0.3360 0.5000 (multiplicity 4)  6 Tl 3.57-3.62
Tl1 0.1252 0.6252 0.0000 (multiplicity 4)  1 Tl 3.47, 6 Sr 3.57-3.62, 2 Rb 3.87

***

<two>
Density functional theory data (PBE) for a relaxed RbSr2Tl2 crystal.

Calculated values
As for the density of states at the Fermi level: 1.133 states/eV/atom.

Cell lengths 6.2053, 6.2053, 13.0902 Å; angles 90.00, 90.00, 90.00 degrees
Last column: nearest neighbours and their distance in Å.
Space group I4/mmm (No. 139)
Inequivalent atoms, fractional coordinates:
Rb1 0.0000 0.0000 0.0000 (multiplicity 2)  10 Sr 4.50-4.84, 8 Tl 4.51
Sr1 0.0000 0.0000 0.3437 (multiplicity 4)  4 Tl 3.34
Tl1 0.0000 0.5000 0.2500 (multiplicity 4)  4 Sr 3.34

***

Which structure wins on stability? <one> wins.